(1)
DFT (PBE) results for a relaxed Dy6MgCd2 crystal.

extended XYZ file:
```
18
Lattice="-1.8819 1.2522 8.5208 8.1075 -3.4296 -0.4690 -0.1586 7.5395 -4.5657" Properties=species:S:1:pos:R:3 pbc="T T T"
Dy 1.2901 1.0042 2.8565
Dy 1.8667 5.3757 -3.1343
Dy 4.2319 0.7347 0.5501
Dy 0.5298 0.5320 6.4614
Cd 1.8786 5.8947 0.1415
Dy 4.7770 4.3579 0.6296
Cd -1.3132 5.6580 2.5454
Mg 3.9745 2.0549 -2.5174
Dy 4.4707 2.5696 3.9653
Dy 5.5373 4.8301 -2.9753
Dy -1.0034 3.1597 4.7339
Dy 7.0704 2.2023 -1.2478
Cd 4.1884 -0.5326 3.3446
Dy 4.2004 -0.0136 6.6205
Mg 0.0000 0.0000 0.0000
Cd -0.7273 3.1337 1.4098
Dy 1.8352 4.6274 2.9360
Dy 1.5963 2.7925 -0.4791
```

Summary:
Space group = Immm, No. 71
E = -3.529 eV/atom
Mass density = 7.72 g/cm³
ΔH_f (0 K) = -80 meV per atom


(2)
DFT (PBE) results for a relaxed DyMg2Cd crystal.

extended XYZ file:
```
4
Lattice="5.0897 0.0000 0.0000 2.5448 4.4078 0.0000 2.5448 1.4693 4.1557" Properties=species:S:1:pos:R:3 pbc="T T T"
Mg 2.5448 1.4693 1.0389
Cd 0.0000 0.0000 0.0000
Mg 7.6345 4.4078 3.1168
Dy 5.0897 2.9385 2.0778
```

Summary:
Space group = Fm-3m, No. 225
E = -2.296 eV/atom
Mass density = 5.76 g/cm³
ΔH_f (0 K) = -120 meV per atom
Distance to the lowest polymorph of the same formula = 74.9 meV per atom


(3)
DFT (PBE) results for a relaxed Dy3Mg2Cd4 crystal.

extended XYZ file:
```
9
Lattice="-1.4719 4.0758 -2.5546 0.6854 -4.9840 -3.3941 -7.5978 0.6252 5.3753" Properties=species:S:1:pos:R:3 pbc="T T T"
Dy -5.8379 1.4860 0.7818
Mg -5.4859 -1.8187 0.2593
Cd -5.4292 -0.1908 -2.1290
Cd -7.1770 -1.0456 2.4671
Mg -2.8984 1.5356 -0.8327
Cd -2.9551 -0.0922 1.5556
Cd -1.2073 0.7625 -3.0405
Dy 0.0000 0.0000 0.0000
Dy -2.5464 -1.7690 -1.3552
```

Summary:
Space group = C2/m, No. 12
E = -2.552 eV/atom
Mass density = 7.37 g/cm³
ΔH_f (0 K) = -257 meV per atom


(4)
DFT (PBE) results for a relaxed Dy2MgCd crystal.

extended XYZ file:
```
4
Lattice="-1.6065 4.9392 -1.1466 -4.1623 0.7622 -3.2227 -4.5895 1.8288 1.9705" Properties=species:S:1:pos:R:3 pbc="T T T"
Cd -2.5896 1.8826 -0.5997
Dy -5.1792 3.7651 -1.1994
Mg -7.7687 5.6477 -1.7991
Dy -8.7518 2.5910 -1.2522
```

Summary:
Space group = Fm-3m, No. 225
E = -3.124 eV/atom
Mass density = 7.21 g/cm³
ΔH_f (0 K) = -196 meV per atom